# Pu2PH2 | Alexandria | GGA-PBE | relaxed
# - Total moment: 10.977 μB per formula unit
# - Energy relative to the lowest polymorph listed for this composition: 0 meV per atom
# - Fermi-level density of states: 26.4 states/eV/cell
data_Pu2PH2
_chemical_formula_sum 'Pu4 P2 H4'
_space_group_name_H-M_alt 'I 4/m m m'
_space_group_IT_number 139
_space_group_name_Hall '-I 4 2'
_cell_length_a 3.6026
_cell_length_b 3.6026
_cell_length_c 11.8254
_cell_angle_alpha 90.00
_cell_angle_beta 90.00
_cell_angle_gamma 90.00
loop_
_atom_site_label
_atom_site_fract_x
_atom_site_fract_y
_atom_site_fract_z
_atom_site_occupancy
Pu1 0.0000 0.0000 0.1289 1
P1 0.0000 0.0000 0.5000 1
H1 0.0000 0.5000 0.2500 1



# Pu2PH | Alexandria | GGA-PBE | relaxed
# - Total moment: 11.702 μB per formula unit
# - Energy relative to the lowest polymorph listed for this composition: 0 meV per atom
# - Fermi-level density of states: 47.0 states/eV/cell
data_Pu2PH
_chemical_formula_sum 'Pu6 P3 H3'
_space_group_name_H-M_alt 'R -3 m'
_space_group_IT_number 166
_space_group_name_Hall '-R 3 2"'
_cell_length_a 3.8462
_cell_length_b 3.8462
_cell_length_c 17.9171
_cell_angle_alpha 90.00
_cell_angle_beta 90.00
_cell_angle_gamma 120.00
loop_
_atom_site_label
_atom_site_fract_x
_atom_site_fract_y
_atom_site_fract_z
_atom_site_occupancy
Pu1 0.0000 0.0000 0.2398 1
P1 0.0000 0.0000 0.0000 1
H1 0.0000 0.0000 0.5000 1



# Pu3PH3 | Alexandria | GGA-PBE | relaxed
# - Total moment: 17.783 μB per formula unit
# - DFT total energy: -8.82 eV/atom
# - Fermi-level density of states: 152.1 states/eV/cell
data_Pu3PH3
_chemical_formula_sum 'Pu18 P6 H18'
_space_group_name_H-M_alt 'R -3'
_space_group_IT_number 148
_space_group_name_Hall '-R 3'
_cell_length_a 6.6030
_cell_length_b 6.6030
_cell_length_c 19.0155
_cell_angle_alpha 90.00
_cell_angle_beta 90.00
_cell_angle_gamma 120.00
loop_
_atom_site_label
_atom_site_fract_x
_atom_site_fract_y
_atom_site_fract_z
_atom_site_occupancy
Pu1 0.0006 0.6822 0.0876 1
P1 0.0000 0.0000 0.3333 1
H1 0.0006 0.3521 0.1254 1



# PuPH2 | Alexandria | GGA-PBE | relaxed
# - Total moment: 4.782 μB per formula unit
# - DFT total energy: -6.98 eV/atom
# - Fermi-level density of states: 18.4 states/eV/cell
data_PuPH2
_chemical_formula_sum 'Pu3 P3 H6'
_space_group_name_H-M_alt 'R -3 m'
_space_group_IT_number 166
_space_group_name_Hall '-R 3 2"'
_cell_length_a 3.9294
_cell_length_b 3.9294
_cell_length_c 9.7028
_cell_angle_alpha 90.00
_cell_angle_beta 90.00
_cell_angle_gamma 120.00
loop_
_atom_site_label
_atom_site_fract_x
_atom_site_fract_y
_atom_site_fract_z
_atom_site_occupancy
Pu1 0.0000 0.0000 0.0000 1
P1 0.0000 0.0000 0.5000 1
H1 0.0000 0.0000 0.2438 1



# Pu6PH8 | Alexandria | GGA-PBE | relaxed
# - Total moment: 35.136 μB per formula unit
# - DFT total energy: -8.25 eV/atom
# - Fermi-level density of states: 131.7 states/eV/cell
data_Pu6PH8
_chemical_formula_sum 'Pu18 P3 H24'
_space_group_name_H-M_alt 'R -3'
_space_group_IT_number 148
_space_group_name_Hall '-R 3'
_cell_length_a 6.3312
_cell_length_b 6.3312
_cell_length_c 18.7380
_cell_angle_alpha 90.00
_cell_angle_beta 90.00
_cell_angle_gamma 120.00
loop_
_atom_site_label
_atom_site_fract_x
_atom_site_fract_y
_atom_site_fract_z
_atom_site_occupancy
Pu1 0.0007 0.3626 0.0839 1
P1 0.0000 0.0000 0.0000 1
H1 0.0000 0.0000 0.3333 1
H2 0.0000 0.3019 0.8713 1



# PuPH2Ru | Alexandria | GGA-PBE | relaxed
# - Total moment: 5.220 μB per formula unit
# - DFT total energy: -7.71 eV/atom
# - Fermi-level density of states: 32.7 states/eV/cell
data_PuPH2Ru
_chemical_formula_sum 'Pu4 P4 H8 Ru4'
_space_group_name_H-M_alt 'C m c m'
_space_group_IT_number 63
_space_group_name_Hall '-C 2c 2'
_cell_length_a 3.8750
_cell_length_b 10.2477
_cell_length_c 5.7714
_cell_angle_alpha 90.00
_cell_angle_beta 90.00
_cell_angle_gamma 90.00
loop_
_atom_site_label
_atom_site_fract_x
_atom_site_fract_y
_atom_site_fract_z
_atom_site_occupancy
Pu1 0.0000 0.2112 0.2500 1
P1 0.0000 0.0730 0.7500 1
H1 0.0000 0.3350 0.5684 1
Ru1 0.0000 0.5000 0.0000 1



# PuPHRu | Alexandria | GGA-PBE | relaxed
# - Total moment: 5.370 μB per formula unit
# - DFT total energy: -8.86 eV/atom
# - Fermi-level density of states: 17.4 states/eV/cell
data_PuPHRu
_chemical_formula_sum 'Pu2 P2 H2 Ru2'
_space_group_name_H-M_alt 'P 4/n m m'
_space_group_IT_number 129
_cell_length_a 4.0075
_cell_length_b 4.0075
_cell_length_c 7.1629
_cell_angle_alpha 90.00
_cell_angle_beta 90.00
_cell_angle_gamma 90.00
loop_
_space_group_symop_operation_xyz
'x,y,z'
'-x,-y,-z'
'-y+1/2,x,z'
'y+1/2,-x,-z'
'-x+1/2,-y+1/2,z'
'x+1/2,y+1/2,-z'
'y,-x+1/2,z'
'-y,x+1/2,-z'
'x+1/2,-y,-z'
'-x+1/2,y,z'
'-y,-x,-z'
'y,x,z'
'-x,y+1/2,-z'
'x,-y+1/2,z'
'y+1/2,x+1/2,-z'
'-y+1/2,-x+1/2,z'
loop_
_atom_site_label
_atom_site_fract_x
_atom_site_fract_y
_atom_site_fract_z
_atom_site_occupancy
Pu1 0.2500 0.2500 0.1510 1
P1 0.2500 0.2500 0.6746 1
H1 0.2500 0.7500 0.0000 1
Ru1 0.2500 0.7500 0.5000 1



# Pu2P2HRu2 | Alexandria | GGA-PBE | relaxed
# - Total moment: 11.276 μB per formula unit
# - DFT total energy: -9.45 eV/atom
# - Fermi-level density of states: 39.5 states/eV/cell
data_Pu2P2HRu2
_chemical_formula_sum 'Pu4 P4 H2 Ru4'
_space_group_name_H-M_alt 'I 4/m m m'
_space_group_IT_number 139
_space_group_name_Hall '-I 4 2'
_cell_length_a 3.9653
_cell_length_b 3.9653
_cell_length_c 13.8861
_cell_angle_alpha 90.00
_cell_angle_beta 90.00
_cell_angle_gamma 90.00
loop_
_atom_site_label
_atom_site_fract_x
_atom_site_fract_y
_atom_site_fract_z
_atom_site_occupancy
Pu1 0.0000 0.0000 0.1742 1
P1 0.0000 0.0000 0.3925 1
H1 0.0000 0.0000 0.0000 1
Ru1 0.0000 0.5000 0.0000 1



# PuTcPH2 | Alexandria | GGA-PBE | relaxed
# - Total moment: 4.797 μB per formula unit
# - DFT total energy: -7.91 eV/atom
# - Fermi-level density of states: 37.1 states/eV/cell
data_PuTcPH2
_chemical_formula_sum 'Pu4 Tc4 P4 H8'
_space_group_name_H-M_alt 'C m c m'
_space_group_IT_number 63
_space_group_name_Hall '-C 2c 2'
_cell_length_a 3.8264
_cell_length_b 10.2689
_cell_length_c 5.8830
_cell_angle_alpha 90.00
_cell_angle_beta 90.00
_cell_angle_gamma 90.00
loop_
_atom_site_label
_atom_site_fract_x
_atom_site_fract_y
_atom_site_fract_z
_atom_site_occupancy
Pu1 0.0000 0.2072 0.2500 1
Tc1 0.0000 0.5000 0.0000 1
P1 0.0000 0.0769 0.7500 1
H1 0.0000 0.3306 0.5646 1



# RbPH6 | Alexandria | GGA-PBE | relaxed
# - Total moment: 0.000 μB per formula unit
# - DFT total energy: -3.31 eV/atom
data_RbPH6
_chemical_formula_sum 'Rb3 P3 H18'
_space_group_name_H-M_alt 'R -3 m'
_space_group_IT_number 166
_space_group_name_Hall '-R 3 2"'
_cell_length_a 5.0147
_cell_length_b 5.0147
_cell_length_c 12.7047
_cell_angle_alpha 90.00
_cell_angle_beta 90.00
_cell_angle_gamma 120.00
loop_
_atom_site_label
_atom_site_fract_x
_atom_site_fract_y
_atom_site_fract_z
_atom_site_occupancy
Rb1 0.0000 0.0000 0.0000 1
P1 0.0000 0.0000 0.5000 1
H1 0.0500 0.5250 0.0991 1



# Rb2PH3 | Alexandria | GGA-PBE | relaxed
# - Total moment: 0.000 μB per formula unit
# - DFT total energy: -3.07 eV/atom
# - Fermi-level density of states: 0.0 states/eV/cell
data_Rb2PH3
_chemical_formula_sum 'Rb16 P8 H24'
_space_group_name_H-M_alt 'F m m m'
_space_group_IT_number 69
_space_group_name_Hall '-F 2 2'
_cell_length_a 8.0204
_cell_length_b 9.0357
_cell_length_c 16.3458
_cell_angle_alpha 90.00
_cell_angle_beta 90.00
_cell_angle_gamma 90.00
loop_
_atom_site_label
_atom_site_fract_x
_atom_site_fract_y
_atom_site_fract_z
_atom_site_occupancy
Rb1 0.0000 0.1987 0.0000 1
Rb2 0.2500 0.2500 0.2500 1
P1 0.0000 0.0000 0.3663 1
H1 0.0000 0.0000 0.1338 1
H2 0.1297 0.0000 0.4271 1



# Rb8P2H | Alexandria | GGA-PBE | relaxed
# - Total moment: 0.000 μB per formula unit
# - DFT total energy: -2.07 eV/atom
# - Fermi-level density of states: 8.3 states/eV/cell
data_Rb8P2H
_chemical_formula_sum 'Rb16 P4 H2'
_space_group_name_H-M_alt 'C 1 2/m 1'
_space_group_IT_number 12
_cell_length_a 18.6703
_cell_length_b 5.9884
_cell_length_c 10.3510
_cell_angle_alpha 90.00
_cell_angle_beta 99.44
_cell_angle_gamma 90.00
loop_
_space_group_symop_operation_xyz
'x,y,z'
'-x,-y,-z'
'-x,y,-z'
'x,-y,z'
'x+1/2,y+1/2,z'
'-x+1/2,-y+1/2,-z'
'-x+1/2,y+1/2,-z'
'x+1/2,-y+1/2,z'
loop_
_atom_site_label
_atom_site_fract_x
_atom_site_fract_y
_atom_site_fract_z
_atom_site_occupancy
Rb1 0.0737 0.0000 0.2244 1
Rb2 0.0780 0.5000 0.6687 1
Rb3 0.2080 0.5000 0.0667 1
Rb4 0.2104 0.0000 0.5760 1
P1 0.2487 0.0000 0.2522 1
H1 0.0000 0.0000 0.5000 1